1.
DFT (GGA-PBE) results for a relaxed structure of KLaFe2.

a b c (Å): 3.9704 3.9704 8.9209
angles (deg): 77.64 77.64 59.97
With the nearest neighbours (Å) after each atom.
Fractional positions:
Fe: 0.9652 0.9652 0.1035  3 Fe 2.29
K: 0.5344 0.5344 0.4079  6 Fe 3.49-3.50
La: 0.7015 0.7015 0.8870  6 Fe 2.95-2.96
Fe: 0.2990 0.2990 0.1017  3 Fe 2.29

## Properties
As for the crystal system: monoclinic. For the formation energy, the calculation gives 0.43 eV/atom. The calculation puts the calculated volume at 29.49 Å³ per atom. The calculation puts the density of states at the Fermi level at 4.495 states/eV/f.u. The energy above the most stable polymorph in this dataset comes out at 0.00 eV/f.u.



2.
DFT (GGA-PBE) results for a relaxed structure of KLaFe2.

a b c (Å): 3.8616 3.9055 8.6112
angles (deg): 62.96 90.00 90.00
With the nearest neighbours (Å) after each atom.
Fractional positions:
Fe: 0.0000 0.3990 0.6008  1 Fe 2.29
K: 0.5000 0.2500 0.2500  2 La 3.84, 8 Fe 3.84-3.85, 4 K 3.86-3.91
La: 0.5000 0.7500 0.7500  8 Fe 2.97-2.98
Fe: 0.0000 0.1010 0.8992  1 Fe 2.29

## Properties
As for the crystal system: monoclinic. For the formation energy, the calculation gives 0.63 eV/atom. The calculation puts the calculated volume at 28.92 Å³ per atom. The calculation puts the density of states at the Fermi level at 3.730 states/eV/f.u. The energy above the most stable polymorph in this dataset comes out at 0.81 eV/f.u.



3.
DFT (GGA-PBE) results for a relaxed structure of KLaFe2.

a b c (Å): 9.8378 9.8378 9.8378
angles (deg): 20.47 20.47 20.47
With the nearest neighbours (Å) after each atom.
Fractional positions:
Fe: 0.0126 0.0126 0.0126  3 La 2.87
Fe: 0.4874 0.4874 0.4874  3 La 2.87
K: 0.2500 0.2500 0.2500  6 Fe 3.43, 6 K 3.50
La: 0.7500 0.7500 0.7500  6 Fe 2.87

## Properties
As for the crystal system: trigonal. For the formation energy, the calculation gives 1.01 eV/atom. The calculation puts the calculated volume at 25.47 Å³ per atom. The calculation puts the density of states at the Fermi level at 7.816 states/eV/f.u. The energy above the most stable polymorph in this dataset comes out at 2.35 eV/f.u.



4.
DFT (GGA-PBE) results for a relaxed structure of KLa2Fe2.

a b c (Å): 5.2198 5.2198 6.3033
angles (deg): 65.54 65.54 90.00
With the nearest neighbours (Å) after each atom.
Fractional positions:
Fe: 0.3930 0.3930 0.2139  1 Fe 2.19
K: 0.0000 0.0000 0.0000  8 La 3.65, 10 Fe 3.85-4.02
La: 0.7500 0.2500 0.5000  4 Fe 2.99
Fe: 0.6070 0.6070 0.7861  1 Fe 2.19
La: 0.2500 0.7500 0.5000  4 Fe 2.99

## Properties
As for the crystal system: tetragonal. For the formation energy, the calculation gives 0.62 eV/atom. The calculation puts the calculated volume at 27.84 Å³ per atom. The calculation puts the density of states at the Fermi level at 7.228 states/eV/f.u. The energy above the most stable polymorph in this dataset comes out at 0.90 eV/f.u.



5.
DFT (GGA-PBE) results for a relaxed structure of KLaFe4.

a b c (Å): 5.3039 5.3039 5.3039
angles (deg): 60.00 60.00 60.00
With the nearest neighbours (Å) after each atom.
Fractional positions:
K: 0.7500 0.7500 0.7500  12 Fe 3.12, 4 La 3.25
Fe: 0.3719 0.8842 0.3719  6 Fe 2.59-2.72
Fe: 0.3719 0.3719 0.3719  6 Fe 2.59-2.72
Fe: 0.3719 0.3719 0.8842  6 Fe 2.59-2.72
Fe: 0.8842 0.3719 0.3719  6 Fe 2.59-2.72
La: 0.0000 0.0000 0.0000  12 Fe 3.10, 4 K 3.25

## Properties
As for the crystal system: cubic. For the formation energy, the calculation gives 0.60 eV/atom. The calculation puts the calculated volume at 17.58 Å³ per atom. The calculation puts the density of states at the Fermi level at 6.842 states/eV/f.u.



6.
DFT (GGA-PBE) results for a relaxed structure of KLaFe2.

a b c (Å): 4.9840 4.9840 4.9840
angles (deg): 119.96 119.96 90.07
With the nearest neighbours (Å) after each atom.
Fractional positions:
La: 0.7500 0.2500 0.5000  4 Fe 3.05, 4 K 3.05
Fe: 0.0000 0.0000 0.0000  4 La 3.05, 4 Fe 3.05
Fe: 0.2500 0.7500 0.5000  4 Fe 3.05, 4 K 3.05
K: 0.5000 0.5000 0.0000  4 La 3.05, 4 Fe 3.05

## Properties
As for the crystal system: tetragonal. For the formation energy, the calculation gives 0.98 eV/atom. The calculation puts the calculated volume at 21.90 Å³ per atom. The calculation puts the density of states at the Fermi level at 5.815 states/eV/f.u. The energy above the most stable polymorph in this dataset comes out at 2.22 eV/f.u.